No. 1
Computed, not measured: a geometry-optimized Cu2RhAu structure at the PBE level of DFT.

ΔE_f: 43 meV/atom
energy: -0.171 hartree per atom
crystal system: orthorhombic
volume: 56.5 Å³/f.u.
symmetry: No. 47

abc: 3.0798 3.1054 5.9075
angles: 90.00 90.00 90.00
With the nearest neighbours (Å) after each atom.
Positions (direct):
Rh  0.5000  0.5000  0.2500  8 Cu 2.59
Au  0.5000  0.5000  0.7500  8 Cu 2.69, 2 Rh 2.95
Cu  0.0000  0.0000  0.0146  4 Rh 2.59, 4 Au 2.69, 1 Cu 2.78
Cu  0.0000  0.0000  0.4854  4 Rh 2.59, 4 Au 2.69, 1 Cu 2.78

No. 2
Computed, not measured: a geometry-optimized La2Pm8Ho3 structure at the PBE level of DFT.

ΔE_f: 208 meV/atom
energy: -0.166 hartree per atom
crystal system: monoclinic
volume: 459.6 Å³/f.u.
symmetry: No. 12

abc: 5.6580 7.7019 11.2290
angles: 110.06 90.01 90.00
With the nearest neighbours (Å) after each atom.
Positions (direct):
La  0.4993  0.2409  0.4818  8 Pm 3.46-3.71, 2 La 3.87
La  0.5007  0.7591  0.5182  8 Pm 3.46-3.71, 2 La 3.87
Pm  0.0004  0.6643  0.3286  2 La 3.46-3.47, 4 Pm 3.49-3.50, 2 Ho 3.84
Pm  0.9996  0.3357  0.6714  2 La 3.46-3.47, 4 Pm 3.49-3.50, 2 Ho 3.84
Pm  0.9998  0.1273  0.2546  2 Ho 3.47, 4 Pm 3.66, 2 La 3.71
Pm  0.0002  0.8727  0.7454  2 Ho 3.47, 4 Pm 3.66, 2 La 3.71
Pm  0.4999  0.6035  0.7945  1 Ho 3.13, 3 Pm 3.18-3.50
Pm  0.4999  0.1910  0.7945  1 Ho 3.13, 3 Pm 3.18-3.50
Pm  0.5001  0.8090  0.2055  1 Ho 3.13, 3 Pm 3.18-3.50
Pm  0.5001  0.3965  0.2055  1 Ho 3.13, 3 Pm 3.18-3.50
Ho  0.5000  0.0000  0.0000  4 Pm 3.13
Ho  0.0000  0.2856  0.0000  3 Ho 3.30-3.58, 6 Pm 3.47-3.56
Ho  0.0000  0.7144  0.0000  3 Ho 3.30-3.58, 6 Pm 3.47-3.56

No. 3
Computed, not measured: a geometry-optimized Ga3CuAu structure at the PBE level of DFT.

ΔE_f: -86 meV/atom
energy: -0.124 hartree per atom
crystal system: monoclinic
volume: 86.5 Å³/f.u.
relative energy among the computed polymorphs: 3 meV per atom
symmetry: No. 14

abc: 6.4335 6.1676 9.3819
angles: 90.00 68.27 90.00
With the nearest neighbours (Å) after each atom.
Positions (direct):
Ga  0.2056  0.6005  0.6077  2 Cu 2.57-2.69, 2 Ga 2.65-2.74, 2 Au 2.69-2.70
Ga  0.2944  0.1005  0.8923  2 Cu 2.57-2.69, 2 Ga 2.65-2.74, 2 Au 2.69-2.70
Ga  0.7944  0.3995  0.3923  2 Cu 2.57-2.69, 2 Ga 2.65-2.74, 2 Au 2.69-2.70
Ga  0.7056  0.8995  0.1077  2 Cu 2.57-2.69, 2 Ga 2.65-2.74, 2 Au 2.69-2.70
Ga  0.8428  0.9252  0.7629  2 Cu 2.60-2.68, 3 Au 2.70-2.90, 1 Ga 2.75
Ga  0.6572  0.4252  0.7371  2 Cu 2.60-2.68, 3 Au 2.70-2.90, 1 Ga 2.75
Ga  0.1572  0.0748  0.2371  2 Cu 2.60-2.68, 3 Au 2.70-2.90, 1 Ga 2.75
Ga  0.3428  0.5748  0.2629  2 Cu 2.60-2.68, 3 Au 2.70-2.90, 1 Ga 2.75
Ga  0.5628  0.8225  0.4060  2 Cu 2.50-2.60, 4 Ga 2.65-2.75, 1 Au 2.74
Ga  0.9372  0.3225  0.0940  2 Cu 2.50-2.60, 4 Ga 2.65-2.75, 1 Au 2.74
Ga  0.4372  0.1775  0.5940  2 Cu 2.50-2.60, 4 Ga 2.65-2.75, 1 Au 2.74
Ga  0.0628  0.6775  0.9060  2 Cu 2.50-2.60, 4 Ga 2.65-2.75, 1 Au 2.74
Cu  0.0029  0.7065  0.1843  6 Ga 2.50-2.69, 2 Au 2.64-2.76
Cu  0.4971  0.2065  0.3157  6 Ga 2.50-2.69, 2 Au 2.64-2.76
Cu  0.9971  0.2935  0.8157  6 Ga 2.50-2.69, 2 Au 2.64-2.76
Cu  0.5029  0.7935  0.6843  6 Ga 2.50-2.69, 2 Au 2.64-2.76
Au  0.4369  0.7274  0.9758  2 Cu 2.64-2.76, 6 Ga 2.69-2.90
Au  0.0631  0.2274  0.5242  2 Cu 2.64-2.76, 6 Ga 2.69-2.90
Au  0.5631  0.2726  0.0242  2 Cu 2.64-2.76, 6 Ga 2.69-2.90
Au  0.9369  0.7726  0.4758  2 Cu 2.64-2.76, 6 Ga 2.69-2.90